No. 1
The following is a DFT calculation (PBE) of a geometry-optimized AcTl5Hg8 structure.

Computed properties:
Calculated total energy   -1.382 eV per atom
SG   C2
DFT formation energy   -0.0711 eV/atom
Magnetization   0.00 μB/f.u.

Cell and atoms, written as POSCAR:
```
AcTl5Hg8
1.0
8.010 0.190 -2.478
-4.234 6.736 -2.652
-0.175 -0.403 7.957
Ac Tl Hg
1 5 8
direct
0.259 0.759 0.500
0.880 0.243 0.904
0.731 0.668 0.632
0.339 0.976 0.096
0.502 0.502 0.000
0.036 0.100 0.368
0.940 0.674 0.044
0.292 0.365 0.247
0.640 0.914 0.400
0.096 0.492 0.720
0.773 0.376 0.280
0.118 0.045 0.753
0.630 0.897 0.956
0.514 0.240 0.600
```

No. 2
The following is a DFT calculation (PBE) of a geometry-optimized Ac3Tl2Hg2 structure.

Computed properties:
Calculated total energy   -2.858 eV per atom
SG   P-1
DFT formation energy   -0.3347 eV/atom
Magnetization   0.00 μB/f.u.

Cell and atoms, written as POSCAR:
```
Ac3Tl2Hg2
1.0
-4.537 0.384 3.176
4.581 -2.588 2.056
3.848 9.324 -0.530
Ac Tl Hg
3 2 2
direct
0.000 0.000 0.000
0.413 0.127 0.695
0.587 0.873 0.305
0.790 0.432 0.150
0.210 0.568 0.850
0.301 0.248 0.364
0.699 0.752 0.636
```

No. 3
The following is a DFT calculation (PBE) of a geometry-optimized Ac6Tl5Hg structure.

Computed properties:
Calculated total energy   -3.435 eV per atom
SG   P2/m
DFT formation energy   -0.3693 eV/atom
Magnetization   0.00 μB/f.u.

Cell and atoms, written as POSCAR:
```
Ac6Tl5Hg
1.0
5.554 -0.033 1.865
0.044 8.182 0.015
0.017 -0.017 9.278
Ac Tl Hg
6 5 1
direct
0.834 0.753 0.331
0.834 0.247 0.331
0.500 0.247 0.000
0.500 0.753 0.000
0.166 0.753 0.669
0.166 0.247 0.669
0.667 0.500 0.665
0.335 0.000 0.330
0.000 0.500 0.000
0.665 0.000 0.670
0.333 0.500 0.335
0.000 0.000 0.000
```

No. 4
The following is a DFT calculation (PBE) of a geometry-optimized Ac5Tl2Hg structure.

Computed properties:
Calculated total energy   -3.484 eV per atom
SG   Pbam
DFT formation energy   -0.2874 eV/atom
Magnetization   0.00 μB/f.u.

Cell and atoms, written as POSCAR:
```
Ac5Tl2Hg
1.0
5.595 0.000 0.000
0.000 7.469 0.000
0.000 0.000 14.367
Ac Tl Hg
10 4 2
direct
0.000 0.000 0.500
0.000 0.500 0.000
0.000 0.855 0.219
0.000 0.145 0.781
0.000 0.645 0.719
0.000 0.355 0.281
0.500 0.659 0.400
0.500 0.341 0.600
0.500 0.841 0.900
0.500 0.159 0.100
0.500 0.617 0.151
0.500 0.383 0.849
0.500 0.883 0.651
0.500 0.117 0.349
0.000 0.500 0.500
0.000 0.000 0.000
```

No. 5
The following is a DFT calculation (PBE) of a geometry-optimized Ac6Tl2Hg structure.

Computed properties:
Calculated total energy   -3.511 eV per atom
SG   P-3m1
DFT formation energy   -0.2128 eV/atom
Magnetization   0.00 μB/f.u.

Cell and atoms, written as POSCAR:
```
Ac6Tl2Hg
1.0
5.980 0.000 0.000
-2.990 5.180 0.007
0.000 -0.015 11.073
Ac Tl Hg
6 2 1
direct
0.667 0.333 0.971
0.333 0.667 0.029
0.000 0.000 0.189
0.333 0.667 0.398
0.000 0.000 0.811
0.667 0.333 0.602
0.333 0.667 0.716
0.667 0.333 0.284
0.000 0.000 0.500
```

No. 6
The following is a DFT calculation (PBE) of a geometry-optimized Ac5TlHg6 structure.

Computed properties:
Calculated total energy   -2.497 eV per atom
SG   C2/m
DFT formation energy   -0.4366 eV/atom
Magnetization   0.00 μB/f.u.

Cell and atoms, written as POSCAR:
```
Ac5TlHg6
1.0
0.958 5.501 0.114
0.942 -2.795 -9.461
-8.544 -1.439 4.810
Ac Tl Hg
5 1 6
direct
0.500 0.141 0.859
0.000 0.321 0.679
0.500 0.500 0.500
0.000 0.679 0.321
0.500 0.859 0.141
0.000 0.000 0.000
0.263 0.092 0.434
0.737 0.566 0.908
0.780 0.280 0.280
0.220 0.720 0.720
0.263 0.434 0.092
0.737 0.908 0.566
```

No. 7
The following is a DFT calculation (PBE) of a geometry-optimized Ac4Tl5Hg structure.

Computed properties:
Calculated total energy   -3.199 eV per atom
SG   C2/m
DFT formation energy   -0.3425 eV/atom
Magnetization   0.00 μB/f.u.

Cell and atoms, written as POSCAR:
```
Ac4Tl5Hg
1.0
-3.672 4.239 0.649
-3.686 -2.347 -5.520
-1.718 -6.252 6.562
Ac Tl Hg
4 5 1
direct
0.689 0.316 0.379
0.091 0.843 0.181
0.311 0.684 0.621
0.909 0.157 0.819
0.288 0.172 0.577
0.101 0.370 0.202
0.899 0.630 0.798
0.500 0.500 0.000
0.712 0.828 0.423
0.500 0.000 0.000
```

No. 8
The following is a DFT calculation (PBE) of a geometry-optimized AcTlHg4 structure.

Computed properties:
Calculated total energy   -1.392 eV per atom
SG   P4/mmm
DFT formation energy   -0.1120 eV/atom
Magnetization   0.00 μB/f.u.

Cell and atoms, written as POSCAR:
```
AcTlHg4
1.0
-3.338 -0.367 -3.064
-3.009 -0.624 3.354
-1.459 9.461 0.454
Ac Tl Hg
1 1 4
direct
0.501 0.497 0.998
0.001 0.997 0.498
0.501 0.997 0.258
0.501 0.997 0.738
0.001 0.497 0.738
0.001 0.497 0.258
```

Please write out number 3 again, unchanged.
The following is a DFT calculation (PBE) of a geometry-optimized Ac6Tl5Hg structure.

Computed properties:
Calculated total energy   -3.435 eV per atom
SG   P2/m
DFT formation energy   -0.3693 eV/atom
Magnetization   0.00 μB/f.u.

Cell and atoms, written as POSCAR:
```
Ac6Tl5Hg
1.0
5.554 -0.033 1.865
0.044 8.182 0.015
0.017 -0.017 9.278
Ac Tl Hg
6 5 1
direct
0.834 0.753 0.331
0.834 0.247 0.331
0.500 0.247 0.000
0.500 0.753 0.000
0.166 0.753 0.669
0.166 0.247 0.669
0.667 0.500 0.665
0.335 0.000 0.330
0.000 0.500 0.000
0.665 0.000 0.670
0.333 0.500 0.335
0.000 0.000 0.000
```